Computed, not measured: an optimized crystal structure of Be2AlAs at the GGA-PBEsol level of DFT.

Formation energy in eV/f.u.: 2.0
Symmetry: Fm-3m, No. 225
N(E_F) in states/eV/cell: 1.83

Cell and atoms, written as CIF:
```
data_Be2AlAs
_cell_length_a 4.206
_cell_length_b 4.206
_cell_length_c 4.206
_cell_angle_alpha 60.00
_cell_angle_beta 60.00
_cell_angle_gamma 60.00
_symmetry_space_group_name_H-M 'P 1'
_symmetry_Int_Tables_number 1
_symmetry_space_group_name_Hall 'P 1'
loop_
_atom_site_label
_atom_site_fract_x
_atom_site_fract_y
_atom_site_fract_z
Be1 0.250 0.250 0.250
Be2 0.750 0.750 0.750
Al1 0.000 0.000 0.000
As1 0.500 0.500 0.500
```